--- P ---
## Er2Tm3In (PBE)

Data for a geometry-optimized Er2Tm3In structure.

Output
- Crystal system: orthorhombic
- ρ: 8.91 g cm⁻³

a b c (Å): 17.005 6.062 6.914
angles (deg): 90.00 90.00 90.00
Space group Cmcm (No. 63)
One atom of each set of equivalent atoms:
1 Er 0.186 0.017 0.250 [8 per cell]
2 Tm 0.000 0.186 0.750 [4 per cell]
3 Tm 0.139 0.500 0.000 [8 per cell]
4 In 0.000 0.303 0.250 [4 per cell]


--- Q ---
## Er2Tm3In (PBE)

Data for a geometry-optimized Er2Tm3In structure.

Output
- Crystal system: orthorhombic
- ρ: 9.26 g cm⁻³

a b c (Å): 4.811 14.807 4.816
angles (deg): 90.00 90.00 90.00
Space group Cmmm (No. 65)
One atom of each set of equivalent atoms:
1 Er 0.000 0.162 0.000 [4 per cell]
2 Tm 0.000 0.000 0.500 [2 per cell]
3 Tm 0.000 0.332 0.500 [4 per cell]
4 In 0.000 0.500 0.000 [2 per cell]


According to the calculations, the structures order from most to least stable as Q, P.